[1]
## MgFe2Cl (PBE)

Data for a relaxed structure of MgFe2Cl.

Lattice parameters (Å, degrees): 10.2962 3.0702 4.1843 90.00 98.07 90.00
With the nearest neighbours (Å) after each atom.
Element x y z (fractional)
Mg1 0.0000 0.0000 0.0000  4 Cl 2.59, 2 Fe 2.87
Mg2 0.5000 0.5000 0.0000  4 Cl 2.59, 2 Fe 2.87
Fe1 0.2229 0.5000 0.7859  2 Fe 2.37, 1 Cl 2.43
Fe2 0.2771 0.0000 0.2141  2 Fe 2.37, 1 Cl 2.43
Fe3 0.7229 0.0000 0.7859  2 Fe 2.37, 1 Cl 2.43
Fe4 0.7771 0.5000 0.2141  2 Fe 2.37, 1 Cl 2.43
Cl1 0.0000 0.5000 0.5000  2 Fe 2.43, 4 Mg 2.59
Cl2 0.5000 0.0000 0.5000  2 Fe 2.43, 4 Mg 2.59

Summary:
* crystal system: monoclinic
* ΔE_f (raw): 0.20 eV per atom

=====

[2]
## CsK14Na (PBE)

Data for a relaxed structure of CsK14Na.

Lattice parameters (Å, degrees): 10.1897 10.1897 11.0660 90.00 90.00 90.00
With the nearest neighbours (Å) after each atom.
Element x y z (fractional)
Cs1 0.0000 0.0000 0.0000  12 K 4.69-5.09
K1 0.0000 0.0000 0.5000  12 K 4.74-5.09
K2 0.0000 0.5000 0.0000  8 K 4.52
K3 0.0000 0.5000 0.5000  12 K 4.57-5.09
K4 0.2650 0.2650 0.2464  1 Na 4.35, 8 K 4.40-4.79, 1 Cs 4.69
K5 0.2650 0.2650 0.7536  1 Na 4.35, 8 K 4.40-4.79, 1 Cs 4.69
K6 0.2650 0.7350 0.2464  1 Na 4.35, 8 K 4.40-4.79, 1 Cs 4.69
K7 0.2650 0.7350 0.7536  1 Na 4.35, 8 K 4.40-4.79, 1 Cs 4.69
K8 0.5000 0.0000 0.0000  8 K 4.52
K9 0.5000 0.0000 0.5000  12 K 4.57-5.09
K10 0.5000 0.5000 0.5000  8 K 4.40
K11 0.7350 0.2650 0.2464  1 Na 4.35, 8 K 4.40-4.79, 1 Cs 4.69
K12 0.7350 0.2650 0.7536  1 Na 4.35, 8 K 4.40-4.79, 1 Cs 4.69
K13 0.7350 0.7350 0.2464  1 Na 4.35, 8 K 4.40-4.79, 1 Cs 4.69
K14 0.7350 0.7350 0.7536  1 Na 4.35, 8 K 4.40-4.79, 1 Cs 4.69
Na1 0.5000 0.5000 0.0000  8 K 4.35

Summary:
* crystal system: tetragonal
* ΔH_f (0 K): 0.012 eV/atom

=====

[3]
## Tb3Th8 (PBE)

Data for a relaxed structure of Tb3Th8.

Lattice parameters (Å, degrees): 31.9675 31.9675 31.9675 6.40 6.40 6.40
With the nearest neighbours (Å) after each atom.
Element x y z (fractional)
Tb1 0.0000 0.0000 0.0000  6 Th 3.55, 6 Tb 3.57
Tb2 0.2732 0.2732 0.2732  6 Th 3.54-3.61, 6 Tb 3.57
Tb3 0.7268 0.7268 0.7268  6 Th 3.54-3.61, 6 Tb 3.57
Th1 0.0911 0.0911 0.0911  9 Th 3.54-3.57, 3 Tb 3.61
Th2 0.1819 0.1819 0.1819  12 Th 3.56-3.57
Th3 0.3635 0.3635 0.3635  6 Tb 3.54-3.55, 6 Th 3.57
Th4 0.4544 0.4544 0.4544  12 Th 3.54-3.57
Th5 0.5456 0.5456 0.5456  12 Th 3.54-3.57
Th6 0.6365 0.6365 0.6365  6 Tb 3.54-3.55, 6 Th 3.57
Th7 0.8181 0.8181 0.8181  12 Th 3.56-3.57
Th8 0.9089 0.9089 0.9089  9 Th 3.54-3.57, 3 Tb 3.61

Summary:
* crystal system: trigonal
* ΔH_f (0 K): 0.019 eV/atom

=====

[4]
## HfU2Se5 (PBE)

Data for a relaxed structure of HfU2Se5.

Lattice parameters (Å, degrees): 6.9786 6.9786 13.0752 90.00 90.00 132.69
With the nearest neighbours (Å) after each atom.
Element x y z (fractional)
Hf1 0.2111 0.7889 0.7500  6 Se 2.63-2.80
Hf2 0.7889 0.2111 0.2500  6 Se 2.63-2.80
U1 0.1585 0.8415 0.0609  6 Se 2.79-2.96
U2 0.1585 0.8415 0.4391  6 Se 2.79-2.96
U3 0.8415 0.1585 0.5609  6 Se 2.79-2.96
U4 0.8415 0.1585 0.9391  6 Se 2.79-2.96
Se1 0.0499 0.9501 0.6245  1 Hf 2.63, 2 U 2.79
Se2 0.0499 0.9501 0.8755  1 Hf 2.63, 2 U 2.79
Se3 0.2774 0.7226 0.2500  2 Hf 2.80, 2 U 2.90
Se4 0.3383 0.6617 0.5820  1 Hf 2.73, 3 U 2.81-2.96
Se5 0.3383 0.6617 0.9180  1 Hf 2.73, 3 U 2.81-2.96
Se6 0.6617 0.3383 0.0820  1 Hf 2.73, 3 U 2.81-2.96
Se7 0.6617 0.3383 0.4180  1 Hf 2.73, 3 U 2.81-2.96
Se8 0.7226 0.2774 0.7500  2 Hf 2.80, 2 U 2.90
Se9 0.9501 0.0499 0.1245  1 Hf 2.63, 2 U 2.79
Se10 0.9501 0.0499 0.3755  1 Hf 2.63, 2 U 2.79

Summary:
* crystal system: orthorhombic
* ΔE_f (raw): -1.08 eV per atom